Density functional theory data (PBE+U) for a relaxed NaTlFeF6 crystal.

Computed properties:
* space group: No. 163
* DOS at the Fermi energy: 2.87 states/eV/f.u.
* uncorrected energy: -81.93 eV for the cell shown

Lattice parameters (Å, degrees): 5.875 5.875 9.180 90.00 90.00 120.00
Last column: magnetic moment on the atom in μB.
Fractional positions:
F: 0.325 0.942 0.132  0.02
Fe: 0.333 0.667 0.250  4.43
Tl: 0.333 0.667 0.750  -0.32
F: 0.325 0.383 0.368  0.02
F: 0.942 0.617 0.868  0.02
F: 0.675 0.058 0.868  0.02
F: 0.058 0.675 0.368  0.02
F: 0.942 0.325 0.632  0.02
F: 0.675 0.617 0.632  0.02
Na: 0.000 0.000 0.500  0.00
F: 0.383 0.058 0.632  0.02
Fe: 0.667 0.333 0.750  4.43
Tl: 0.667 0.333 0.250  -0.32
F: 0.383 0.325 0.868  0.02
F: 0.058 0.383 0.132  0.02
F: 0.617 0.942 0.368  0.02
Na: 0.000 0.000 0.000  0.00
F: 0.617 0.675 0.132  0.02